[1]
Ca3Co2Si4O14 | Alexandria | PBE with a Hubbard U | optimized geometry; distance to the lowest polymorph of the same formula = 0.017 eV/atom; crystal system = monoclinic
1.0
5.6171 -5.5165 0.0000
5.6171 5.5165 0.0000
-0.1921 0.0000 5.1429
Ca Co Si O
3 2 4 14
Cartesian
0.0000 0.0000 0.0000 Ca
7.0767 1.8435 5.0960 Ca
7.0767 -1.8435 5.0960 Ca
4.3676 2.7713 2.5639 Co
4.3676 -2.7713 2.5639 Co
1.5058 1.5617 2.7626 Si
1.5058 -1.5617 2.7626 Si
5.7911 0.0000 2.4016 Si
8.8774 0.0000 2.2286 Si
2.7481 2.4324 3.4204 O
1.5966 0.0000 3.3153 O
5.8103 3.3751 3.6330 O
6.9522 3.8334 1.1779 O
5.1193 1.3384 1.7259 O
2.7481 -2.4324 3.4204 O
6.0310 0.0000 3.9837 O
5.1193 -1.3384 1.7259 O
7.3075 0.0000 1.6277 O
9.5055 1.3126 1.4252 O
9.0304 0.0000 3.8173 O
5.8103 -3.3751 3.6330 O
6.9522 -3.8334 1.1779 O
9.5055 -1.3126 1.4252 O

[2]
Ca2CoSi2O7 | Alexandria | PBE with a Hubbard U | optimized geometry; total energy = -7.23 eV per atom; crystal system = tetragonal
1.0
7.9072 0.0000 0.0000
0.0000 7.9072 0.0000
0.0000 0.0000 5.0672
Ca Co Si O
4 2 4 14
Cartesian
1.3490 2.6046 5.0667 Ca
2.6046 6.5583 0.0005 Ca
5.3026 1.3490 0.0005 Ca
6.5583 5.3026 5.0667 Ca
0.0000 0.0000 2.5336 Co
3.9536 3.9536 2.5336 Co
1.1135 5.0672 2.8793 Si
2.8401 1.1135 2.1879 Si
5.0672 6.7937 2.1879 Si
6.7937 2.8401 2.8793 Si
0.0000 3.9536 3.4695 O
0.6487 6.4370 3.6625 O
1.1325 5.0861 1.2670 O
1.4703 0.6487 1.4047 O
2.4833 4.6023 3.6625 O
2.8211 1.1325 3.8002 O
3.3049 2.4833 1.4047 O
3.9536 0.0000 1.5977 O
4.6023 5.4239 1.4047 O
5.0861 6.7747 3.8002 O
5.4239 3.3049 3.6625 O
6.4370 7.2585 1.4047 O
6.7747 2.8211 1.2670 O
7.2585 1.4703 3.6625 O

[3]
CaCoSi2O6 | Alexandria | PBE with a Hubbard U | optimized geometry; total energy = -7.32 eV per atom; crystal system = monoclinic
1.0
4.9675 -4.5225 0.0000
4.9675 4.5225 0.0000
-1.4691 0.0000 5.1159
Ca Co Si O
2 2 4 12
Cartesian
3.8657 2.6818 3.8369 Ca
4.6002 -2.6818 1.2790 Ca
4.6002 0.8470 1.2790 Co
3.8657 -0.8470 3.8369 Co
0.9902 0.8373 3.9278 Si
1.7247 -0.8373 1.3699 Si
6.7412 0.8373 3.7460 Si
7.4757 -0.8373 1.1881 Si
3.1211 2.2739 1.6512 O
1.4908 0.1531 0.0061 O
0.7563 -0.1531 2.5641 O
2.5518 0.8065 4.3690 O
6.0793 2.2739 0.9067 O
3.2864 -0.8065 1.8111 O
5.1795 0.8065 3.3048 O
2.3866 -2.2739 4.2092 O
5.9141 -0.8065 0.7469 O
7.7096 0.1531 2.5518 O
6.9751 -0.1531 5.1098 O
5.3448 -2.2739 3.4647 O